# CrCdTeO6

A geometry-optimized CrCdTeO6 structure (PBE with a Hubbard U, the Alexandria database).

abc: 4.782 4.782 9.466
angles: 90.00 90.00 90.00
Positions (direct):
Cr  0.000  0.000  0.000
Cr  0.500  0.500  0.500
Cd  0.000  0.000  0.331
Cd  0.500  0.500  0.831
Te  0.000  0.000  0.667
Te  0.500  0.500  0.167
O  0.175  0.175  0.833
O  0.211  0.211  0.519
O  0.215  0.215  0.148
O  0.285  0.715  0.648
O  0.289  0.711  0.019
O  0.325  0.675  0.333
O  0.675  0.325  0.333
O  0.711  0.289  0.019
O  0.715  0.285  0.648
O  0.785  0.785  0.148
O  0.789  0.789  0.519
O  0.825  0.825  0.833

electronic total energy: -5.71 eV per atom
space group: P4_2nm, No. 102
spin magnetization: 2.0 μB/f.u.